1.
! Na2TlTe2H2 (PBE-GGA, relaxed); values from VASP
! Uncorrected energy   -2.76 eV/atom
! Calculated volume   200.73 Å³ per cell
&SYSTEM
  ibrav = 0, nat = 7, ntyp = 4
/
ATOMIC_SPECIES
Te 127.60 Te.upf
Na 22.99 Na.upf
H 1.01 H.upf
Tl 204.38 Tl.upf
CELL_PARAMETERS angstrom
-2.281 1.348 -5.654
-0.893 -3.176 3.051
-7.016 5.681 4.186
ATOMIC_POSITIONS angstrom
Te -3.051 1.067 1.486
Te -7.139 2.786 0.097
Na -4.240 1.775 -1.314
Na -5.951 2.078 2.897
H -7.568 4.360 0.646
H -2.622 -0.507 0.937
Tl 0.000 0.000 0.000

2.
! NaZrTe2H (PBE-GGA, relaxed); values from VASP
! Uncorrected energy   -4.45 eV/atom
! Calculated volume   130.86 Å³ per cell
&SYSTEM
  ibrav = 0, nat = 5, ntyp = 4
/
ATOMIC_SPECIES
Te 127.60 Te.upf
Na 22.99 Na.upf
Zr 91.22 Zr.upf
H 1.01 H.upf
CELL_PARAMETERS angstrom
-1.507 -1.155 -5.336
-5.146 -1.548 1.789
-1.313 3.835 -0.459
ATOMIC_POSITIONS angstrom
Te -2.573 -0.774 0.894
Te -0.754 -0.577 -2.668
Na -3.983 0.566 -2.003
Zr 0.000 0.000 0.000
H -0.656 1.917 -0.230

3.
! Na2ThH6 (PBE-GGA, relaxed); values from VASP
! Uncorrected energy   -3.07 eV/atom
! Calculated volume   165.48 Å³ per cell
&SYSTEM
  ibrav = 0, nat = 9, ntyp = 3
/
ATOMIC_SPECIES
Na 22.99 Na.upf
H 1.01 H.upf
Th 232.04 Th.upf
CELL_PARAMETERS angstrom
-6.026 -0.807 -1.009
-1.941 -4.721 -3.452
-2.958 -4.725 2.626
ATOMIC_POSITIONS angstrom
Na -8.194 -7.690 -1.376
Na -2.731 -2.563 -0.459
H -6.687 -5.323 -2.651
H -5.738 -3.014 -0.962
H -3.740 -4.928 -2.157
H -7.185 -5.325 0.322
H -5.187 -7.239 -0.873
H -4.238 -4.930 0.816
Th 0.000 0.000 0.000

4.
! NaTh2H (PBE-GGA, relaxed); values from VASP
! Uncorrected energy   -4.78 eV/atom
! Calculated volume   105.77 Å³ per cell
&SYSTEM
  ibrav = 0, nat = 4, ntyp = 3
/
ATOMIC_SPECIES
H 1.01 H.upf
Th 232.04 Th.upf
Na 22.99 Na.upf
CELL_PARAMETERS angstrom
3.435 0.000 0.000
1.717 2.974 0.000
1.717 0.991 10.353
ATOMIC_POSITIONS angstrom
H 3.435 1.983 5.176
Th 5.152 2.974 3.589
Th 1.717 0.991 6.764
Na 0.000 0.000 0.000

no.,total magnetic moment (μB per formula unit)
1,0.0
2,0.0
3,0.0
4,0.0